# 1
This record from Alexandria via LeMat-Bulk describes crystalline Ta2IrPb at its relaxed geometry. The functional is PBE.

Values from the calculation:
Crystal system   tetragonal

Structure (CIF):
```
data_Ta2IrPb
_chemical_formula_sum 'Ta8 Ir4 Pb4'
_space_group_name_H-M_alt 'I -4 2 d'
_space_group_IT_number 122
_space_group_name_Hall 'I -4 2bw'
_cell_length_a 4.015
_cell_length_b 4.015
_cell_length_c 19.924
_cell_angle_alpha 90.00
_cell_angle_beta 90.00
_cell_angle_gamma 90.00
loop_
_atom_site_label
_atom_site_type_symbol
_atom_site_fract_x
_atom_site_fract_y
_atom_site_fract_z
Ta1 Ta 0.250 0.250 0.125
Ir1 Ir 0.000 0.000 0.000
Pb1 Pb 0.000 0.000 0.500
```


# 2
This record from Alexandria via LeMat-Bulk describes crystalline CuP2Pb at its relaxed geometry. The functional is PBE.

Values from the calculation:
Crystal system   monoclinic

Structure (CIF):
```
data_CuP2Pb
_chemical_formula_sum 'Cu2 P4 Pb2'
_space_group_name_H-M_alt 'C 1 2/m 1'
_space_group_IT_number 12
_cell_length_a 5.260
_cell_length_b 7.676
_cell_length_c 4.322
_cell_angle_alpha 90.00
_cell_angle_beta 117.35
_cell_angle_gamma 90.00
loop_
_space_group_symop_operation_xyz
'x,y,z'
'-x,-y,-z'
'-x,y,-z'
'x,-y,z'
'x+1/2,y+1/2,z'
'-x+1/2,-y+1/2,-z'
'-x+1/2,y+1/2,-z'
'x+1/2,-y+1/2,z'
loop_
_atom_site_label
_atom_site_type_symbol
_atom_site_fract_x
_atom_site_fract_y
_atom_site_fract_z
Cu1 Cu 0.000 0.000 0.000
P1 P 0.250 0.250 0.500
Pb1 Pb 0.000 0.500 0.000
```


# 3
This record from Alexandria via LeMat-Bulk describes crystalline Ni3W at its relaxed geometry. The functional is PBE.

Values from the calculation:
Crystal system   orthorhombic

Structure (CIF):
```
data_Ni3W
_chemical_formula_sum 'Ni12 W4'
_space_group_name_H-M_alt 'P n m a'
_space_group_IT_number 62
_cell_length_a 4.433
_cell_length_b 8.390
_cell_length_c 5.267
_cell_angle_alpha 90.00
_cell_angle_beta 90.00
_cell_angle_gamma 90.00
loop_
_space_group_symop_operation_xyz
'x,y,z'
'-x,-y,-z'
'-x+1/2,-y,z+1/2'
'x+1/2,y,-z+1/2'
'x+1/2,-y+1/2,-z+1/2'
'-x+1/2,y+1/2,z+1/2'
'-x,y+1/2,-z'
'x,-y+1/2,z'
loop_
_atom_site_label
_atom_site_type_symbol
_atom_site_fract_x
_atom_site_fract_y
_atom_site_fract_z
Ni1 Ni 0.089 0.250 0.123
Ni2 Ni 0.246 0.002 0.873
W1 W 0.086 0.250 0.602
```


| no. | E_form (eV per atom) | size of the total moment (μB/atom) | energy (eV per atom) |
| --- | --- | --- | --- |
| 1 | 0.6524 | 0.0000 | -8.416 |
| 2 | 0.4691 | 0.0000 | -4.187 |
| 3 | 0.0673 | 0.0000 | -7.507 |